## TbHf2Ta (GGA-PBE)

Data for crystalline TbHf2Ta at its relaxed geometry. Values from VASP.

Cell and atoms, written as Quantum ESPRESSO input:
```
&SYSTEM
  ibrav = 0, nat = 4, ntyp = 3
/
ATOMIC_SPECIES
Tb 158.93 Tb.upf
Hf 178.49 Hf.upf
Ta 180.95 Ta.upf
CELL_PARAMETERS angstrom
3.5184 0.0000 0.0000
0.0000 3.5184 0.0000
0.0000 0.0000 7.5738
ATOMIC_POSITIONS crystal
Tb 0.0000 0.0000 0.0000
Hf 0.5000 0.5000 0.2966
Hf 0.5000 0.5000 0.7034
Ta 0.0000 0.0000 0.5000
```

Output
Its density of states at the Fermi level is 1.4381 states/eV per atom. The space group is P4/mmm (123). As for the final energy: -8.93 eV/atom. For the offset from the most stable computed form, the calculation gives 0.0 kJ per mole of atoms. The calculation puts the calculated formation energy at 0.1714 eV per atom.



## TbHf2Ta (GGA-PBE)

Data for crystalline TbHf2Ta at its relaxed geometry. Values from VASP.

Cell and atoms, written as Quantum ESPRESSO input:
```
&SYSTEM
  ibrav = 0, nat = 4, ntyp = 3
/
ATOMIC_SPECIES
Tb 158.93 Tb.upf
Hf 178.49 Hf.upf
Ta 180.95 Ta.upf
CELL_PARAMETERS angstrom
1.5756 0.9097 11.0250
-1.5756 0.9097 11.0250
0.0000 -1.8193 11.0250
ATOMIC_POSITIONS crystal
Tb 0.0000 0.0000 0.0000
Hf 0.0954 0.0954 0.0954
Hf 0.9046 0.9046 0.9046
Ta 0.5000 0.5000 0.5000
```

Output
Its density of states at the Fermi level is 1.2014 states/eV per atom. The space group is R-3m (166). As for the final energy: -8.76 eV/atom. For the offset from the most stable computed form, the calculation gives 16.4 kJ per mole of atoms. The calculation puts the calculated formation energy at 0.3418 eV per atom.



## HfTa2Tc2 (GGA-PBE)

Data for crystalline HfTa2Tc2 at its relaxed geometry. Values from VASP.

Cell and atoms, written as Quantum ESPRESSO input:
```
&SYSTEM
  ibrav = 0, nat = 10, ntyp = 3
/
ATOMIC_SPECIES
Hf 178.49 Hf.upf
Ta 180.95 Ta.upf
Tc 98.00 Tc.upf
CELL_PARAMETERS angstrom
7.5319 0.0000 0.0000
0.0000 7.5319 0.0000
0.0000 0.0000 3.1623
ATOMIC_POSITIONS crystal
Hf 0.0000 0.0000 0.0000
Hf 0.5000 0.5000 0.0000
Ta 0.1524 0.3476 0.5000
Ta 0.3476 0.8476 0.5000
Ta 0.6524 0.1524 0.5000
Ta 0.8476 0.6524 0.5000
Tc 0.1459 0.6459 0.0000
Tc 0.3541 0.1459 0.0000
Tc 0.6459 0.8541 0.0000
Tc 0.8541 0.3541 0.0000
```

Output
Its density of states at the Fermi level is 1.4147 states/eV per atom. The space group is P4/mbm (127). As for the final energy: -10.87 eV/atom. For the offset from the most stable computed form, the calculation gives 9.8 kJ per mole of atoms. The calculation puts the calculated formation energy at 0.0128 eV per atom.